--- a ---
{
  "formula": "CoB4Pd",
  "functional": "GGA-PBE",
  "state": "relaxed",
  "lattice": [[-1.505, 2.631, 3.260], [1.505, -2.631, 3.260], [1.505, 2.631, -3.260]],
  "species": ["B", "B", "B", "Co", "B", "Pd"],
  "fractional_positions": [[0.070, 0.738, 0.332], [0.930, 0.262, 0.668], [0.406, 0.738, 0.668], [0.000, 0.000, 0.000], [0.594, 0.262, 0.332], [0.500, 0.500, 0.000]]
}


--- b ---
{
  "formula": "CoB4Pd",
  "functional": "GGA-PBE",
  "state": "relaxed",
  "lattice": [[3.024, 0.000, 0.000], [-1.512, 2.619, 0.000], [0.000, 0.000, 6.432]],
  "species": ["B", "Co", "B", "B", "B", "Pd"],
  "fractional_positions": [[0.333, 0.667, 0.716], [0.000, 0.000, 0.500], [0.667, 0.333, 0.716], [0.667, 0.333, 0.284], [0.333, 0.667, 0.284], [0.000, 0.000, 0.000]]
}


Quick ranking, most stable first: b, a.


--- a ---
{
  "formula": "ScCoBPd",
  "functional": "GGA-PBE",
  "state": "relaxed",
  "lattice": [[0.000, 2.991, 2.991], [2.991, 0.000, 2.991], [2.991, 2.991, 0.000]],
  "species": ["B", "Pd", "Sc", "Co"],
  "fractional_positions": [[0.000, 0.000, 0.000], [0.500, 0.500, 0.500], [0.250, 0.250, 0.250], [0.750, 0.750, 0.750]]
}


--- b ---
{
  "formula": "ScCoBPd",
  "functional": "GGA-PBE",
  "state": "relaxed",
  "lattice": [[2.579, -3.225, -0.398], [2.483, -1.070, 3.146], [-0.715, -3.500, 2.109]],
  "species": ["B", "Co", "Pd", "Sc"],
  "fractional_positions": [[0.000, 0.000, 0.000], [0.750, 0.750, 0.750], [0.250, 0.250, 0.250], [0.500, 0.500, 0.500]]
}


Quick ranking, most stable first: b, a.


--- a ---
{
  "formula": "TaCoBPd",
  "functional": "GGA-PBE",
  "state": "relaxed",
  "lattice": [[0.000, 2.948, 2.948], [2.948, 0.000, 2.948], [2.948, 2.948, 0.000]],
  "species": ["Co", "Ta", "Pd", "B"],
  "fractional_positions": [[0.750, 0.750, 0.750], [0.250, 0.250, 0.250], [0.500, 0.500, 0.500], [0.000, 0.000, 0.000]]
}


--- b ---
{
  "formula": "TaCoBPd",
  "functional": "GGA-PBE",
  "state": "relaxed",
  "lattice": [[0.724, -4.026, -0.804], [1.839, -2.401, 2.869], [-2.195, -2.947, 1.970]],
  "species": ["B", "Co", "Pd", "Ta"],
  "fractional_positions": [[0.000, 0.000, 0.000], [0.750, 0.750, 0.750], [0.250, 0.250, 0.250], [0.500, 0.500, 0.500]]
}


Quick ranking, most stable first: a, b.